LiMnAlO4, relaxed, DFT PBE+U; ΔE to the lowest computed polymorph = 0.028 eV/atom; DOS at the Fermi energy = 0.00 states/eV per cell; E_tot = -0.25039 Ha/atom
1.0
-2.718 -3.019 4.071
-4.056 -1.475 -3.801
4.256 -6.535 -2.005
O Mn Al Li
16 4 4 4
direct
0.264 0.511 0.490 O
0.264 0.489 0.010 O
0.992 0.267 0.740 O
0.511 0.264 0.760 O
0.008 0.267 0.260 O
0.267 0.992 0.510 O
0.489 0.264 0.240 O
0.992 0.733 0.760 O
0.008 0.733 0.240 O
0.733 0.008 0.010 O
0.267 0.008 0.990 O
0.733 0.992 0.490 O
0.511 0.736 0.740 O
0.736 0.511 0.510 O
0.489 0.736 0.260 O
0.736 0.489 0.990 O
0.500 0.234 0.000 Mn
0.500 0.766 0.500 Mn
0.234 0.500 0.250 Mn
0.766 0.500 0.750 Mn
0.744 0.744 0.125 Al
0.256 0.744 0.875 Al
0.744 0.256 0.375 Al
0.256 0.256 0.625 Al
0.229 0.000 0.250 Li
0.000 0.229 0.000 Li
0.771 0.000 0.750 Li
0.000 0.771 0.500 Li